# 1
This record from Alexandria describes a relaxed structure of InTcP. The functional is PBE.

a b c (Å): 4.2286 4.2286 4.2286
angles (deg): 60.00 60.00 60.00
Fractional coordinates of all 3 atoms:
In 0.5000 0.5000 0.5000
Tc 0.0000 0.0000 0.0000
P 0.7500 0.7500 0.7500

Results
* space group: F-43m, No. 216
* crystal system: cubic
* ΔE_f: 0.4520 eV/atom
* magnetization: 0.000 μB per formula unit


# 2
This record from Alexandria describes a relaxed structure of PmYCI. The functional is PBE.

a b c (Å): 3.8135 3.8152 7.8872
angles (deg): 90.00 104.01 119.99
Fractional coordinates of all 4 atoms:
Pm 0.5210 0.1584 0.6945
Y 0.0833 0.9396 0.0382
C 0.3108 0.5533 0.8798
I 0.9628 0.3795 0.3572

Results
* space group: R3m, No. 160
* formation energy without anion corrections: -0.73 eV/atom
* crystal system: trigonal
* magnetization: 0.000 μB per formula unit


For reference, ρ by record: 7.57; 6.49 Mg/m³.